No. 1
Mg2Re, optimized geometry, DFT PBE; DFT total energy = -4.98 eV/atom; SG = Cm, No. 8; distance to the lowest polymorph of the same formula = 0.004 eV per atom; formation energy = 229 meV per atom; DOS(E_F) = 0.254 states/eV/atom
1.0
1.625 5.099 0.299
-1.625 5.099 0.299
0.000 2.159 6.721
Mg Re
4 2
Direct
0.967 0.967 0.545 Mg
0.309 0.309 0.902 Mg
0.639 0.639 0.224 Mg
0.639 0.639 0.721 Mg
0.326 0.326 0.352 Re
0.954 0.954 0.089 Re

No. 2
MgRe2, optimized geometry, DFT PBE; DFT total energy = -8.38 eV/atom; SG = P-62m, No. 189; distance to the lowest polymorph of the same formula = 0.332 eV per atom; formation energy = 450 meV per atom; DOS(E_F) = 0.921 states/eV/atom
1.0
0.504 -1.548 7.598
-3.558 -5.008 -4.757
2.300 -1.248 -0.407
Mg Re
3 6
Direct
0.000 0.000 0.500 Mg
0.333 0.667 0.000 Mg
0.667 0.333 0.000 Mg
0.680 0.680 0.000 Re
0.000 0.653 0.500 Re
0.000 0.320 0.000 Re
0.653 0.000 0.500 Re
0.320 0.000 0.000 Re
0.347 0.347 0.500 Re

No. 3
Mg2Re, optimized geometry, DFT PBE; DFT total energy = -4.53 eV/atom; SG = P6_3/mmc, No. 194; distance to the lowest polymorph of the same formula = 0.458 eV per atom; formation energy = 683 meV per atom; DOS(E_F) = 0.955 states/eV/atom
1.0
0.711 4.511 -0.901
-1.575 -2.822 -3.349
-5.152 1.109 1.489
Re Mg
2 4
Direct
0.667 0.333 0.750 Re
0.333 0.667 0.250 Re
0.000 0.000 0.500 Mg
0.667 0.333 0.250 Mg
0.333 0.667 0.750 Mg
0.000 0.000 0.000 Mg

No. 4
Mg3Re5, optimized geometry, DFT PBE; DFT total energy = -7.89 eV/atom; SG = Cm, No. 8; distance to the lowest polymorph of the same formula = 0.169 eV per atom; formation energy = 489 meV per atom; DOS(E_F) = 0.660 states/eV/atom
1.0
-1.136 -2.843 -7.281
4.834 -0.295 6.239
-5.579 -3.725 3.165
Mg Re
6 10
Direct
0.323 0.823 0.145 Mg
0.200 0.315 0.517 Mg
0.701 0.201 0.894 Mg
0.740 0.736 0.977 Mg
0.815 0.700 0.517 Mg
0.236 0.240 0.977 Mg
0.075 0.751 0.816 Re
0.757 0.257 0.506 Re
0.561 0.745 0.306 Re
0.749 0.446 0.199 Re
0.251 0.575 0.816 Re
0.946 0.249 0.199 Re
0.245 0.061 0.306 Re
0.246 0.746 0.503 Re
0.444 0.217 0.664 Re
0.717 0.944 0.664 Re

No. 5
MgRe2, optimized geometry, DFT PBE; DFT total energy = -8.59 eV/atom; SG = Fd-3m, No. 227; distance to the lowest polymorph of the same formula = 0.125 eV per atom; formation energy = 243 meV per atom; DOS(E_F) = 0.820 states/eV/atom
1.0
0.000 3.714 3.714
3.714 0.000 3.714
3.714 3.714 0.000
Re Mg
4 2
Direct
0.125 0.125 0.125 Re
0.125 0.625 0.125 Re
0.125 0.125 0.625 Re
0.625 0.125 0.125 Re
0.500 0.500 0.500 Mg
0.750 0.750 0.750 Mg

No. 6
MgRe2, optimized geometry, DFT PBE; DFT total energy = -8.51 eV/atom; SG = Cmcm, No. 63; distance to the lowest polymorph of the same formula = 0.198 eV per atom; formation energy = 316 meV per atom; DOS(E_F) = 0.876 states/eV/atom
1.0
-7.273 -0.093 -1.010
6.383 -0.669 3.567
-0.228 4.410 1.234
Re Mg
4 2
Direct
0.942 0.058 0.250 Re
0.285 0.715 0.250 Re
0.715 0.285 0.750 Re
0.058 0.942 0.750 Re
0.610 0.390 0.250 Mg
0.390 0.610 0.750 Mg

No. 7
Mg3Re, optimized geometry, DFT PBE; DFT total energy = -3.85 eV/atom; SG = Fm-3m, No. 225; distance to the lowest polymorph of the same formula = 0.273 eV per atom; formation energy = 457 meV per atom; DOS(E_F) = 0.943 states/eV/atom
1.0
4.665 0.000 0.000
2.332 4.040 0.000
2.332 1.347 3.809
Mg Re
3 1
Direct
0.500 0.500 0.500 Mg
0.250 0.250 0.250 Mg
0.750 0.750 0.750 Mg
0.000 0.000 0.000 Re

No. 8
Mg3Re5, optimized geometry, DFT PBE; DFT total energy = -7.78 eV/atom; SG = Cmcm, No. 63; distance to the lowest polymorph of the same formula = 0.282 eV per atom; formation energy = 602 meV per atom; DOS(E_F) = 0.825 states/eV/atom
1.0
-5.482 0.105 -5.590
4.643 -7.539 3.275
-3.471 -0.665 3.391
Mg Re
6 10
Direct
0.000 0.352 0.750 Mg
0.595 0.030 0.250 Mg
0.595 0.565 0.750 Mg
0.405 0.970 0.750 Mg
0.000 0.648 0.250 Mg
0.405 0.435 0.250 Mg
0.397 0.698 0.000 Re
0.775 0.822 0.250 Re
0.225 0.178 0.750 Re
0.000 0.854 0.750 Re
0.225 0.048 0.250 Re
0.603 0.302 0.000 Re
0.603 0.302 0.500 Re
0.775 0.953 0.750 Re
0.000 0.146 0.250 Re
0.397 0.698 0.500 Re